K2ZrRe2 | PBE | relaxed

```
data_K2ZrRe2
_cell_length_a 9.439
_cell_length_b 9.439
_cell_length_c 2.603
_cell_angle_alpha 90.00
_cell_angle_beta 90.00
_cell_angle_gamma 90.00
_symmetry_space_group_name_H-M 'P 4/m b m'
_symmetry_Int_Tables_number 127
_symmetry_space_group_name_Hall '-P 4 2ab'
loop_
_atom_site_label
_atom_site_type_symbol
_atom_site_fract_x
_atom_site_fract_y
_atom_site_fract_z
K1 K 0.105 0.395 0.000
Zr1 Zr 0.000 0.000 0.000
Re1 Re 0.197 0.697 0.500
```

Properties
DOS(E_F) = 11.758 states/eV per cell
offset from the most stable computed form = 658 meV per atom
raw total energy = -5.258 eV per atom